--- a ---
DFT (GGA-PBE) results for an optimized crystal structure of TmCd2Pd3.

Structure (POSCAR):
```
TmCd2Pd3
1.0
4.7329 0.0000 0.0000
-2.3665 4.0989 0.0000
0.0000 0.0000 5.7197
Tm Cd Pd
1 2 3
Direct
0.0000 0.0000 0.0000
0.6667 0.3333 0.3345
0.3333 0.6667 0.6655
0.0000 0.0000 0.5000
0.6667 0.3333 0.8279
0.3333 0.6667 0.1721
```

Results
The total moment is 0.0 μB per formula unit. As for the density of states at the Fermi level: 3.33 states/eV/f.u. The theoretical density is 10.67 g/cm³. The crystal system is trigonal.



--- b ---
DFT (GGA-PBE) results for an optimized crystal structure of TmCd2Pd3.

Structure (POSCAR):
```
TmCd2Pd3
1.0
4.7180 0.0000 0.0000
-2.3590 4.0859 0.0000
0.0000 0.0000 11.5110
Tm Cd Pd
2 4 6
Direct
0.3333 0.6667 0.6685
0.6667 0.3333 0.3315
0.0000 0.0000 0.5000
0.3333 0.6667 0.1628
0.6667 0.3333 0.8372
0.0000 0.0000 0.0000
0.3333 0.6667 0.4151
0.6667 0.3333 0.0843
0.0000 0.0000 0.7549
0.0000 0.0000 0.2451
0.3333 0.6667 0.9157
0.6667 0.3333 0.5849
```

Results
The total moment is 0.0 μB per formula unit. As for the density of states at the Fermi level: 2.97 states/eV/f.u. The theoretical density is 10.67 g/cm³. The crystal system is trigonal.



Q: Which of them is the most stable? A: b.



--- a ---
DFT (GGA-PBE) results for an optimized crystal structure of Tm3CdPd6.

Structure (POSCAR):
```
Tm3CdPd6
1.0
-1.1714 -4.0478 -2.4682
7.2114 -3.0471 1.5746
-7.1514 -2.3333 7.2208
Tm Cd Pd
6 2 12
Direct
0.2500 0.5314 0.3811
0.7500 0.4686 0.6189
0.2500 0.3415 0.7879
0.7500 0.6585 0.2121
0.2500 0.7948 0.9867
0.7500 0.2052 0.0133
0.2500 0.9463 0.5717
0.7500 0.0537 0.4283
0.2500 0.4654 0.0823
0.7500 0.5346 0.9177
0.2500 0.1642 0.1737
0.7500 0.8358 0.8263
0.2500 0.6633 0.6805
0.7500 0.3367 0.3195
0.2500 0.2559 0.4819
0.7500 0.7441 0.5181
0.2500 0.8745 0.2812
0.7500 0.1255 0.7188
0.2500 0.0499 0.8630
0.7500 0.9501 0.1370
```

Results
The total moment is 0.0 μB per formula unit. As for the density of states at the Fermi level: 4.39 states/eV/f.u. The theoretical density is 11.19 g/cm³. The crystal system is monoclinic.



--- b ---
DFT (GGA-PBE) results for an optimized crystal structure of Tm3CdPd6.

Structure (POSCAR):
```
Tm3CdPd6
1.0
-3.2038 -1.2454 3.7499
6.9675 -2.0455 5.2735
-1.8187 8.6868 1.3311
Tm Cd Pd
6 2 12
Direct
0.4842 0.9124 0.7111
0.9842 0.7111 0.9124
0.1026 0.3833 0.6167
0.6026 0.6167 0.3833
0.9842 0.0876 0.2889
0.4842 0.2889 0.0876
0.0614 0.1729 0.8271
0.5614 0.8271 0.1729
0.0850 0.6887 0.5821
0.5850 0.5821 0.6887
0.4112 0.5406 0.9664
0.9112 0.9664 0.5406
0.2791 0.9865 0.0135
0.5815 0.2644 0.7356
0.0815 0.7356 0.2644
0.7791 0.0135 0.9865
0.4112 0.0336 0.4594
0.9112 0.4594 0.0336
0.0850 0.4179 0.3113
0.5850 0.3113 0.4179
```

Results
The total moment is 0.0 μB per formula unit. As for the density of states at the Fermi level: 4.45 states/eV/f.u. The theoretical density is 10.66 g/cm³. The crystal system is orthorhombic.



Q: Which of them is the most stable? A: a.



--- a ---
DFT (GGA-PBE) results for an optimized crystal structure of TmCd3Pd6.

Structure (POSCAR):
```
TmCd3Pd6
1.0
-2.6838 3.3018 -0.2950
-6.1298 -4.6005 4.2761
3.8168 3.7925 7.7237
Tm Cd Pd
2 6 12
Direct
0.2500 0.9375 0.6248
0.7500 0.0625 0.3752
0.2500 0.5514 0.3980
0.7500 0.4486 0.6020
0.2500 0.3449 0.8062
0.7500 0.6551 0.1938
0.2500 0.7529 0.9866
0.7500 0.2471 0.0134
0.2500 0.4533 0.1003
0.7500 0.5467 0.8997
0.2500 0.1526 0.2063
0.7500 0.8474 0.7937
0.2500 0.6377 0.6983
0.7500 0.3623 0.3017
0.2500 0.2491 0.5050
0.7500 0.7509 0.4950
0.2500 0.8511 0.2985
0.7500 0.1489 0.7015
0.2500 0.0541 0.9097
0.7500 0.9459 0.0903
```

Results
The total moment is 0.0 μB per formula unit. As for the density of states at the Fermi level: 2.93 states/eV/f.u. The theoretical density is 10.84 g/cm³. The crystal system is monoclinic.



--- b ---
DFT (GGA-PBE) results for an optimized crystal structure of TmCd3Pd6.

Structure (POSCAR):
```
TmCd3Pd6
1.0
-2.2243 3.3948 3.5144
-4.9189 -6.3900 3.0592
7.5052 0.5560 4.2130
Tm Cd Pd
2 6 12
Direct
0.0759 0.1729 0.8271
0.5759 0.8271 0.1729
0.5560 0.8762 0.7076
0.0560 0.7076 0.8762
0.1091 0.4117 0.5883
0.6091 0.5883 0.4117
0.0560 0.1238 0.2924
0.5560 0.2924 0.1238
0.0838 0.7392 0.5648
0.5838 0.5648 0.7392
0.3077 0.4907 0.9821
0.8077 0.9821 0.4907
0.3129 0.9959 0.0041
0.5925 0.2421 0.7579
0.0925 0.7579 0.2421
0.8129 0.0041 0.9959
0.3077 0.0179 0.5093
0.8077 0.5093 0.0179
0.0838 0.4352 0.2608
0.5838 0.2608 0.4352
```

Results
The total moment is 0.0 μB per formula unit. As for the density of states at the Fermi level: 3.94 states/eV/f.u. The theoretical density is 10.25 g/cm³. The crystal system is orthorhombic.



Q: Which of them is the most stable? A: a.



--- a ---
DFT (GGA-PBE) results for an optimized crystal structure of Tm2Cd3Pd2.

Structure (POSCAR):
```
Tm2Cd3Pd2
1.0
3.9511 0.0000 0.0000
-1.9755 5.0111 0.1931
0.0000 -0.9079 7.6828
Tm Cd Pd
2 3 2
Direct
0.6220 0.2440 0.3557
0.3780 0.7560 0.6443
0.3044 0.6088 0.1328
0.0000 0.0000 0.0000
0.6956 0.3912 0.8672
0.0937 0.1873 0.6379
0.9063 0.8127 0.3621
```

Results
The total moment is 0.0 μB per formula unit. As for the density of states at the Fermi level: 2.41 states/eV/f.u. The theoretical density is 9.65 g/cm³. The crystal system is monoclinic.



--- b ---
DFT (GGA-PBE) results for an optimized crystal structure of Tm2Cd3Pd2.

Structure (POSCAR):
```
Tm2Cd3Pd2
1.0
-3.2942 -2.2557 -1.9818
3.2772 -2.9884 2.9666
-4.9053 3.1945 4.5175
Tm Cd Pd
2 3 2
Direct
0.8605 0.7210 0.2153
0.1395 0.2790 0.7847
0.5000 0.0000 0.0000
0.6284 0.2567 0.4404
0.3716 0.7433 0.5596
0.8431 0.6861 0.8108
0.1569 0.3139 0.1892
```

Results
The total moment is 0.0 μB per formula unit. As for the density of states at the Fermi level: 3.07 states/eV/f.u. The theoretical density is 9.82 g/cm³. The crystal system is monoclinic.



Q: Which of them is the most stable? A: b.